PBE with a Hubbard U Rb2V2Si8O21, relaxed; total DFT energy (no corrections) = -500.181 eV per cell; total magnetization = 4.0 Bohr magnetons per cell; D(E_F) = 0.0000 states/eV/atom; SG = Pmc2_1, No. 26
1.0
8.8585 0.0000 0.0000
0.0000 10.4339 0.0000
0.0000 0.0000 11.2274
Rb V Si O
4 4 16 42
Direct
0.6643 0.6041 0.5000 Rb
0.1643 0.3959 0.5000 Rb
0.9387 0.1100 0.0000 Rb
0.4387 0.8900 0.0000 Rb
0.9562 0.4592 0.0000 V
0.4562 0.5408 0.0000 V
0.8759 0.7596 0.0000 V
0.3759 0.2404 0.0000 V
0.8259 0.3614 0.2609 Si
0.8259 0.3614 0.7391 Si
0.3259 0.6387 0.7391 Si
0.3259 0.6387 0.2609 Si
0.7897 0.8668 0.2579 Si
0.7897 0.8668 0.7421 Si
0.2897 0.1332 0.7421 Si
0.2897 0.1332 0.2579 Si
0.9619 0.1016 0.3633 Si
0.9619 0.1016 0.6367 Si
0.4619 0.8984 0.6367 Si
0.4619 0.8984 0.3633 Si
0.9679 0.6204 0.2559 Si
0.9679 0.6204 0.7441 Si
0.4679 0.3796 0.7441 Si
0.4679 0.3796 0.2559 Si
0.0301 0.8467 0.0000 O
0.5301 0.1533 0.0000 O
0.6456 0.3735 0.2907 O
0.6456 0.3735 0.7093 O
0.1456 0.6265 0.7093 O
0.1456 0.6265 0.2907 O
0.7472 0.8422 0.1213 O
0.7472 0.8422 0.8787 O
0.2472 0.1578 0.8787 O
0.2472 0.1578 0.1213 O
0.8933 0.9971 0.2711 O
0.8933 0.9971 0.7289 O
0.3933 0.0029 0.7289 O
0.3933 0.0029 0.2711 O
0.8876 0.2425 0.3431 O
0.8876 0.2425 0.6569 O
0.3876 0.7575 0.6569 O
0.3876 0.7575 0.3431 O
0.9342 0.6126 0.1138 O
0.9342 0.6126 0.8862 O
0.4342 0.3874 0.8862 O
0.4342 0.3874 0.1138 O
0.9294 0.0571 0.5000 O
0.4294 0.9429 0.5000 O
0.8827 0.7439 0.3163 O
0.8827 0.7439 0.6837 O
0.3827 0.2561 0.6837 O
0.3827 0.2561 0.3163 O
0.8672 0.3478 0.1232 O
0.8672 0.3478 0.8768 O
0.3672 0.6522 0.8768 O
0.3672 0.6522 0.1232 O
0.1372 0.4233 0.0000 O
0.6372 0.5767 0.0000 O
0.9023 0.4912 0.3238 O
0.9023 0.4912 0.6762 O
0.4023 0.5088 0.6762 O
0.4023 0.5088 0.3238 O
0.6432 0.8844 0.3455 O
0.6432 0.8844 0.6545 O
0.1432 0.1156 0.6545 O
0.1432 0.1156 0.3455 O